1.
First-principles (PBE) data for a relaxed K2Cd4In3Ga crystal, as listed in Alexandria.

Cell and atoms, written as POSCAR:
```
K2Cd4In3Ga
1.0
4.800 0.000 0.000
0.000 4.800 0.000
0.000 0.000 12.668
K Cd In Ga
2 4 3 1
Direct
0.000 0.500 0.245
0.500 0.000 0.755
0.000 0.000 0.500
0.000 0.500 0.868
0.500 0.000 0.132
0.500 0.500 0.500
0.000 0.000 0.000
0.000 0.500 0.639
0.500 0.000 0.361
0.500 0.500 0.000
```

## Properties
Calculated total energy, eV per atom: -1.78


2.
First-principles (PBE) data for a relaxed K2CdIn3Ga4 crystal, as listed in Alexandria.

Cell and atoms, written as POSCAR:
```
K2CdIn3Ga4
1.0
4.750 0.000 0.000
0.000 4.750 0.000
0.000 0.000 11.841
K Cd In Ga
2 1 3 4
Direct
0.000 0.500 0.248
0.500 0.000 0.752
0.000 0.000 0.500
0.000 0.500 0.868
0.500 0.000 0.132
0.500 0.500 0.500
0.000 0.000 0.000
0.000 0.500 0.635
0.500 0.000 0.365
0.500 0.500 0.000
```

## Properties
Calculated total energy, eV per atom: -2.45


3.
First-principles (PBE) data for a relaxed KCdInGa2 crystal, as listed in Alexandria.

Cell and atoms, written as POSCAR:
```
KCdInGa2
1.0
-2.307 2.361 6.083
2.307 -2.361 6.083
2.307 2.361 -6.083
K Cd In Ga
1 1 1 2
Direct
0.000 0.000 0.000
0.393 0.393 0.000
0.243 0.743 0.500
0.618 0.618 0.000
0.742 0.242 0.500
```

## Properties
Calculated total energy, eV per atom: -2.26


4.
First-principles (PBE) data for a relaxed K2Cd3In4Ga crystal, as listed in Alexandria.

Cell and atoms, written as POSCAR:
```
K2Cd3In4Ga
1.0
4.857 0.000 0.000
0.000 4.857 0.000
0.000 0.000 12.538
K Cd In Ga
2 3 4 1
Direct
0.000 0.500 0.244
0.500 0.000 0.756
0.000 0.000 0.000
0.000 0.500 0.642
0.500 0.000 0.358
0.000 0.000 0.500
0.000 0.500 0.872
0.500 0.000 0.128
0.500 0.500 0.500
0.500 0.500 0.000
```

## Properties
Calculated total energy, eV per atom: -1.98


5.
First-principles (PBE) data for a relaxed LiCdInGa crystal, as listed in Alexandria.

Cell and atoms, written as POSCAR:
```
LiCdInGa
1.0
-2.630 2.630 3.040
2.630 -2.630 3.040
2.630 2.630 -3.040
Li Cd In Ga
1 1 1 1
Direct
0.000 0.000 0.000
0.750 0.250 0.500
0.500 0.500 0.000
0.250 0.750 0.500
```

## Properties
ΔE to the lowest computed polymorph, meV/atom: 0
Calculated total energy, eV per atom: -2.25


6.
First-principles (PBE) data for a relaxed Li2CdInGa crystal, as listed in Alexandria.

Cell and atoms, written as POSCAR:
```
Li2CdInGa
1.0
6.553 0.000 0.000
0.000 4.290 0.000
-0.095 0.000 6.854
Li Cd In Ga
4 2 2 2
Direct
0.145 0.250 0.464
0.336 0.250 0.045
0.664 0.750 0.955
0.855 0.750 0.536
0.432 0.750 0.337
0.568 0.250 0.663
0.246 0.750 0.756
0.754 0.250 0.244
0.045 0.750 0.149
0.955 0.250 0.851
```

## Properties
Calculated total energy, eV per atom: -2.30